# 1
Computed, not measured: crystalline Li2ScCu at its relaxed geometry at the PBE-GGA level of DFT.

a = 3.2649 Å, b = 3.2649 Å, c = 6.6892 Å
α = 90.00°, β = 90.00°, γ = 90.00°
Last column: nearest neighbours and their distance in Å.
Sites, in units of the cell vectors:
Li 0.0000 0.0000 0.0000  4 Cu 2.71, 4 Li 2.79, 1 Sc 2.88
Li 0.5000 0.5000 0.2350  4 Li 2.79, 1 Cu 2.99
Sc 0.0000 0.0000 0.5700  4 Cu 2.73, 1 Li 2.88
Cu 0.5000 0.5000 0.7887  5 Li 2.71-2.99, 4 Sc 2.73

energy above the lowest structure with this stoichiometry = 0.0 kJ/mol of atoms
space group = No. 99

# 2
Computed, not measured: crystalline LiScCu10 at its relaxed geometry at the PBE-GGA level of DFT.

a = 4.0992 Å, b = 4.8651 Å, c = 8.4565 Å
α = 90.00°, β = 90.00°, γ = 90.00°
Last column: nearest neighbours and their distance in Å.
Sites, in units of the cell vectors:
Li 0.0000 0.0000 0.0000  6 Cu 2.78-2.80
Sc 0.0000 0.5000 0.5000  14 Cu 2.83-3.16
Cu 0.0000 0.0000 0.3287  6 Cu 2.48-2.51
Cu 0.0000 0.0000 0.6713  6 Cu 2.48-2.51
Cu 0.0000 0.5000 0.1633  7 Cu 2.47-2.76
Cu 0.0000 0.5000 0.8367  7 Cu 2.47-2.76
Cu 0.5000 0.0000 0.5000  8 Cu 2.43-2.51
Cu 0.5000 0.2533 0.2530  8 Cu 2.40-2.49
Cu 0.5000 0.2533 0.7470  8 Cu 2.40-2.49
Cu 0.5000 0.5000 0.0000  8 Cu 2.45-2.47
Cu 0.5000 0.7467 0.2530  8 Cu 2.40-2.49
Cu 0.5000 0.7467 0.7470  8 Cu 2.40-2.49

space group = No. 47

# 3
Computed, not measured: crystalline LiSc3Cu4 at its relaxed geometry at the PBE-GGA level of DFT.

a = 7.8980 Å, b = 7.8980 Å, c = 7.8980 Å
α = 33.28°, β = 33.28°, γ = 33.28°
Last column: nearest neighbours and their distance in Å.
Sites, in units of the cell vectors:
Li 0.0000 0.0000 0.0000  8 Cu 2.78-2.84
Sc 0.2533 0.2533 0.2533  8 Cu 2.74-2.83
Sc 0.5000 0.5000 0.5000  8 Cu 2.76-2.77
Sc 0.7467 0.7467 0.7467  8 Cu 2.74-2.83
Cu 0.1269 0.1269 0.1269  7 Sc 2.76-2.83, 1 Li 2.84
Cu 0.3762 0.3762 0.3762  5 Sc 2.74-2.77, 3 Li 2.78
Cu 0.6238 0.6238 0.6238  5 Sc 2.74-2.77, 3 Li 2.78
Cu 0.8731 0.8731 0.8731  7 Sc 2.76-2.83, 1 Li 2.84

space group = No. 166

# 4
Computed, not measured: crystalline LiSc6Cu5 at its relaxed geometry at the PBE-GGA level of DFT.

a = 7.3607 Å, b = 7.3607 Å, c = 6.5241 Å
α = 90.00°, β = 90.00°, γ = 143.18°
Last column: nearest neighbours and their distance in Å.
Sites, in units of the cell vectors:
Li 0.0000 0.0000 0.0000  8 Sc 2.87-2.88
Sc 0.1697 0.8303 0.2520  7 Cu 2.79-2.90, 1 Li 2.88
Sc 0.1697 0.8303 0.7480  7 Cu 2.79-2.90, 1 Li 2.88
Sc 0.5000 0.5000 0.2575  6 Cu 2.79-2.83, 2 Li 2.87
Sc 0.5000 0.5000 0.7425  6 Cu 2.79-2.83, 2 Li 2.87
Sc 0.8303 0.1697 0.2520  7 Cu 2.79-2.90, 1 Li 2.88
Sc 0.8303 0.1697 0.7480  7 Cu 2.79-2.90, 1 Li 2.88
Cu 0.0000 0.0000 0.5000  8 Sc 2.81-2.87
Cu 0.3323 0.6677 0.5000  8 Sc 2.79-2.83
Cu 0.3409 0.6591 0.0000  8 Sc 2.79-2.90
Cu 0.6591 0.3409 0.0000  8 Sc 2.79-2.90
Cu 0.6677 0.3323 0.5000  8 Sc 2.79-2.83

space group = No. 65

# 5
Computed, not measured: crystalline Li4ScCu at its relaxed geometry at the PBE-GGA level of DFT.

a = 5.1775 Å, b = 5.1775 Å, c = 5.1775 Å
α = 60.00°, β = 60.00°, γ = 60.00°
Last column: nearest neighbours and their distance in Å.
Sites, in units of the cell vectors:
Li 0.3770 0.3770 0.3770  6 Li 2.55-2.63
Li 0.3770 0.3770 0.8689  6 Li 2.55-2.63
Li 0.3770 0.8689 0.3770  6 Li 2.55-2.63
Li 0.8689 0.3770 0.3770  6 Li 2.55-2.63
Sc 0.0000 0.0000 0.0000  12 Li 3.04, 4 Cu 3.17
Cu 0.7500 0.7500 0.7500  12 Li 3.03, 4 Sc 3.17

space group = No. 216

# 6
Computed, not measured: crystalline Li2ScCu at its relaxed geometry at the PBE-GGA level of DFT.

a = 10.4288 Å, b = 10.4288 Å, c = 10.4288 Å
α = 159.10°, β = 159.10°, γ = 29.72°
Last column: nearest neighbours and their distance in Å.
Sites, in units of the cell vectors:
Li 0.0813 0.6250 0.9563  2 Li 2.45
Li 0.3750 0.3313 0.4563  2 Li 2.45
Li 0.6687 0.1250 0.0437  2 Li 2.45
Li 0.8750 0.9187 0.5437  2 Li 2.45
Sc 0.2500 0.7500 0.5000  4 Cu 2.67, 4 Li 2.91
Sc 0.5000 0.5000 0.0000  4 Cu 2.67, 4 Li 2.91
Cu 0.0000 0.0000 0.0000  4 Sc 2.67, 4 Li 2.80
Cu 0.7500 0.2500 0.5000  4 Sc 2.67, 4 Li 2.80

energy above the lowest structure with this stoichiometry = 15.2 kJ/mol of atoms
space group = No. 122

# 7
Computed, not measured: crystalline LiSc2Cu at its relaxed geometry at the PBE-GGA level of DFT.

a = 10.2766 Å, b = 10.2766 Å, c = 10.2766 Å
α = 17.60°, β = 17.60°, γ = 17.60°
Last column: nearest neighbours and their distance in Å.
Sites, in units of the cell vectors:
Li 0.0000 0.0000 0.0000  2 Sc 2.99, 6 Li 3.14
Sc 0.0984 0.0984 0.0984  3 Cu 2.75, 1 Li 2.99
Sc 0.9016 0.9016 0.9016  3 Cu 2.75, 1 Li 2.99
Cu 0.5000 0.5000 0.5000  6 Sc 2.75

space group = No. 166

# 8
Computed, not measured: crystalline Li2ScCu at its relaxed geometry at the PBE-GGA level of DFT.

a = 5.5449 Å, b = 5.5449 Å, c = 4.5313 Å
α = 111.19°, β = 111.19°, γ = 33.00°
Last column: nearest neighbours and their distance in Å.
Sites, in units of the cell vectors:
Li 0.2174 0.2174 0.2131  2 Cu 2.66, 4 Li 2.78-2.89
Li 0.7826 0.7826 0.7869  2 Cu 2.66, 4 Li 2.78-2.89
Sc 0.0000 0.0000 0.5000  4 Cu 2.76, 2 Li 3.05
Cu 0.5000 0.5000 0.0000  4 Li 2.66, 4 Sc 2.76

energy above the lowest structure with this stoichiometry = 3.4 kJ/mol of atoms
space group = No. 12

# 9
Computed, not measured: crystalline LiSc2Cu at its relaxed geometry at the PBE-GGA level of DFT.

a = 3.3233 Å, b = 3.3184 Å, c = 6.9313 Å
α = 90.00°, β = 90.11°, γ = 90.00°
Last column: nearest neighbours and their distance in Å.
Sites, in units of the cell vectors:
Li 0.0000 0.0000 0.0000  8 Sc 3.02-3.03, 4 Li 3.32
Sc 0.4999 0.5000 0.2750  4 Cu 2.82, 4 Li 3.02-3.03, 1 Sc 3.12
Sc 0.5001 0.5000 0.7250  4 Cu 2.82, 4 Li 3.02-3.03, 1 Sc 3.12
Cu 0.0000 0.0000 0.5000  8 Sc 2.82

space group = No. 10

# 10
Computed, not measured: crystalline Li2ScCu at its relaxed geometry at the PBE-GGA level of DFT.

a = 2.9767 Å, b = 4.9342 Å, c = 4.7338 Å
α = 90.00°, β = 92.88°, γ = 90.00°
Last column: nearest neighbours and their distance in Å.
Sites, in units of the cell vectors:
Li 0.2066 0.0000 0.2746  2 Li 2.52-2.69, 2 Cu 2.77
Li 0.7934 0.0000 0.7254  2 Li 2.52-2.69, 2 Cu 2.77
Sc 0.5000 0.5000 0.0000  4 Cu 2.73-2.86, 4 Li 2.94, 2 Sc 2.98
Cu 0.0000 0.5000 0.5000  4 Sc 2.73-2.86, 4 Li 2.77, 2 Cu 2.98

energy above the lowest structure with this stoichiometry = 8.1 kJ/mol of atoms
space group = No. 10

# 11
Computed, not measured: crystalline LiSc2Cu at its relaxed geometry at the PBE-GGA level of DFT.

a = 5.7550 Å, b = 5.7550 Å, c = 5.7550 Å
α = 147.23°, β = 131.50°, γ = 59.77°
Last column: nearest neighbours and their distance in Å.
Sites, in units of the cell vectors:
Li 0.0000 0.0000 0.0000  2 Cu 2.57
Sc 0.2897 0.7897 0.5000  4 Cu 2.87, 2 Sc 3.16, 2 Li 3.16
Sc 0.5797 0.5797 0.0000  2 Cu 2.73, 4 Li 2.98
Cu 0.8002 0.3002 0.5000  2 Li 2.57, 6 Sc 2.73-2.87

space group = No. 44

# 12
Computed, not measured: crystalline LiSc2Cu2 at its relaxed geometry at the PBE-GGA level of DFT.

a = 7.7265 Å, b = 7.7265 Å, c = 3.0567 Å
α = 90.00°, β = 90.00°, γ = 90.00°
Last column: nearest neighbours and their distance in Å.
Sites, in units of the cell vectors:
Li 0.0000 0.0000 0.0000  4 Sc 2.93, 2 Li 3.06
Li 0.5000 0.5000 0.0000  4 Sc 2.93, 2 Li 3.06
Sc 0.1538 0.3462 0.0000  6 Cu 2.72-2.75, 2 Li 2.93
Sc 0.3462 0.8462 0.0000  6 Cu 2.72-2.75, 2 Li 2.93
Sc 0.6538 0.1538 0.0000  6 Cu 2.72-2.75, 2 Li 2.93
Sc 0.8462 0.6538 0.0000  6 Cu 2.72-2.75, 2 Li 2.93
Cu 0.1365 0.6365 0.5000  6 Sc 2.72-2.75, 1 Cu 2.98
Cu 0.3635 0.1365 0.5000  6 Sc 2.72-2.75, 1 Cu 2.98
Cu 0.6365 0.8635 0.5000  6 Sc 2.72-2.75, 1 Cu 2.98
Cu 0.8635 0.3635 0.5000  6 Sc 2.72-2.75, 1 Cu 2.98

energy above the lowest structure with this stoichiometry = 9.8 kJ/mol of atoms
space group = No. 127

Number 1: formation enthalpy at 0 K -27 meV per atom. Number 2: formation enthalpy at 0 K -47 meV per atom. Number 3: formation enthalpy at 0 K -188 meV per atom. Number 4: formation enthalpy at 0 K -208 meV per atom. Number 5: formation enthalpy at 0 K 164 meV per atom. Number 6: formation enthalpy at 0 K 131 meV per atom. Number 7: formation enthalpy at 0 K 198 meV per atom. Number 8: formation enthalpy at 0 K 9 meV per atom. Number 9: formation enthalpy at 0 K -50 meV per atom. Number 10: formation enthalpy at 0 K 58 meV per atom. Number 11: formation enthalpy at 0 K 18 meV per atom. Number 12: formation enthalpy at 0 K -40 meV per atom.